(1)
Entry from Alexandria: crystalline Cu5TeO8 at its relaxed geometry (GGA-PBE).

Unit cell a=6.0611 b=6.0611 c=6.0611 alpha=60.00 beta=60.00 gamma=60.00
Site moments in Bohr magnetons follow the coordinates.
Sites, in units of the cell vectors:
Te  0.2500  0.2500  0.2500  0.01
O  0.8663  0.4011  0.8663  0.47
O  0.3847  0.8458  0.3847  0.14
O  0.4011  0.8663  0.8663  0.47
O  0.8458  0.3847  0.3847  0.14
O  0.8663  0.8663  0.8663  0.47
O  0.3847  0.3847  0.3847  0.14
O  0.8663  0.8663  0.4011  0.47
O  0.3847  0.3847  0.8458  0.14
Cu  0.1146  0.6284  0.6284  0.66
Cu  0.0000  0.0000  0.0000  0.62
Cu  0.6284  0.6284  0.6284  0.66
Cu  0.6284  0.1147  0.6284  0.66
Cu  0.6284  0.6284  0.1147  0.66

- V: 157 Å³/cell
- ρ: 6.05 g/cm³
- Energy relative to the elements, uncorrected: -494 meV/atom
- SG: No. 216

(2)
Entry from Alexandria: crystalline CuTeO3 at its relaxed geometry (GGA-PBE).

Unit cell a=6.9476 b=6.1811 c=7.0689 alpha=117.23 beta=90.00 gamma=90.00
Site moments in Bohr magnetons follow the coordinates.
Sites, in units of the cell vectors:
O  0.2910  0.9015  0.5062  0.17
O  0.9188  0.6702  0.3754  0.13
O  0.7910  0.5985  0.9938  0.17
O  0.1465  0.8169  0.8557  0.10
O  0.5812  0.1702  0.8754  0.13
O  0.2090  0.4015  0.0062  0.17
O  0.3535  0.3169  0.3557  0.10
O  0.0812  0.3298  0.6246  0.13
O  0.7090  0.0985  0.4938  0.17
O  0.6465  0.6831  0.6443  0.10
O  0.4188  0.8298  0.1246  0.13
O  0.8535  0.1831  0.1443  0.10
Cu  0.1785  0.5455  0.3189  0.56
Cu  0.3215  0.0455  0.8189  0.56
Cu  0.8215  0.4545  0.6811  0.56
Cu  0.6785  0.9545  0.1811  0.56
Te  0.2002  0.0440  0.3248  0.01
Te  0.7002  0.4560  0.1751  0.01
Te  0.7998  0.9560  0.6752  0.01
Te  0.2998  0.5440  0.8249  0.01

- V: 270 Å³/cell
- ρ: 5.88 g/cm³
- Energy relative to the elements, uncorrected: -661 meV/atom
- SG: No. 14

(3)
Entry from Alexandria: crystalline Ti3Cu3Te2O16 at its relaxed geometry (GGA-PBE).

Unit cell a=6.0932 b=6.0932 c=9.3658 alpha=86.69 beta=86.69 gamma=57.64
Site moments in Bohr magnetons follow the coordinates.
Sites, in units of the cell vectors:
O  0.6704  0.6704  0.6202  -0.07
O  0.4878  0.0384  0.3450  0.09
O  0.0384  0.4878  0.3450  0.09
O  0.1477  0.6244  0.5967  0.01
O  0.6244  0.1477  0.5967  0.01
O  0.8197  0.3497  0.0975  0.07
O  0.3497  0.8197  0.0975  0.07
O  0.4668  0.4668  0.3431  0.00
O  0.9776  0.5483  0.8605  0.00
O  0.0053  0.0053  0.7945  -0.03
O  0.5483  0.9776  0.8605  0.00
O  0.1507  0.1507  0.5866  -0.02
O  0.5371  0.5371  0.8403  -0.02
O  0.8199  0.8199  0.1146  0.00
O  0.3487  0.3487  0.1019  0.11
O  0.9974  0.9974  0.2910  0.10
Cu  0.8378  0.3416  0.7080  -0.09
Cu  0.3416  0.8378  0.7080  -0.09
Cu  0.1721  0.1721  0.2033  0.70
Ti  0.6625  0.1633  0.2081  -0.01
Ti  0.1633  0.6625  0.2081  -0.01
Ti  0.8417  0.8417  0.7175  0.00
Te  0.3181  0.3181  0.4860  -0.01
Te  0.6731  0.6731  0.9851  0.00

- V: 293 Å³/cell
- ρ: 4.79 g/cm³
- Energy relative to the elements, uncorrected: -1472 meV/atom
- SG: No. 8

(4)
Entry from Alexandria: crystalline TiCuTeO6 at its relaxed geometry (GGA-PBE).

Unit cell a=5.1420 b=5.1420 c=8.9896 alpha=90.00 beta=90.00 gamma=120.00
Site moments in Bohr magnetons follow the coordinates.
Sites, in units of the cell vectors:
O  0.6442  0.6481  0.6329  0.06
O  0.6481  0.0039  0.3671  0.06
O  0.3519  0.9961  0.6329  0.06
O  0.3558  0.3519  0.3671  0.06
O  0.9961  0.6442  0.3671  0.06
O  0.9961  0.3519  0.1329  0.06
O  0.6442  0.9961  0.8671  0.06
O  0.3558  0.0039  0.1329  0.06
O  0.0039  0.3558  0.6329  0.06
O  0.6481  0.6442  0.1329  0.06
O  0.3519  0.3558  0.8671  0.06
O  0.0039  0.6481  0.8671  0.06
Te  0.6667  0.3333  0.2500  0.00
Te  0.3333  0.6667  0.7500  0.00
Ti  0.6667  0.3333  0.7500  0.00
Ti  0.3333  0.6667  0.2500  0.00
Cu  0.0000  0.0000  0.0000  0.64
Cu  0.0000  0.0000  0.5000  0.64

- V: 206 Å³/cell
- ρ: 5.41 g/cm³
- Energy relative to the elements, uncorrected: -1434 meV/atom
- SG: No. 163

(5)
Entry from Alexandria: crystalline Tl2Cu2TeO6 at its relaxed geometry (GGA-PBE).

Unit cell a=5.9076 b=5.9076 c=6.7066 alpha=63.87 beta=63.87 gamma=60.00
Site moments in Bohr magnetons follow the coordinates.
Sites, in units of the cell vectors:
Cu  0.3890  0.3890  0.8331  0.51
Cu  0.6110  0.6110  0.1669  0.51
O  0.2215  0.2215  0.7907  0.15
O  0.2337  0.7785  0.2093  0.15
O  0.7785  0.2337  0.2093  0.15
O  0.7663  0.2215  0.7907  0.15
O  0.2215  0.7663  0.7907  0.15
O  0.7785  0.7785  0.2093  0.15
Tl  0.7904  0.7904  0.6287  0.00
Tl  0.2096  0.2096  0.3713  0.00
Te  0.0000  0.0000  0.0000  -0.01

- V: 175 Å³/cell
- ρ: 7.23 g/cm³
- Energy relative to the elements, uncorrected: -688 meV/atom
- SG: No. 166

(6)
Entry from Alexandria: crystalline Tl2CuTeO6 at its relaxed geometry (GGA-PBE).

Unit cell a=5.6712 b=5.6723 c=6.6934 alpha=64.94 beta=64.92 gamma=60.01
Site moments in Bohr magnetons follow the coordinates.
Sites, in units of the cell vectors:
O  0.4237  0.6831  0.7844  0.05
O  0.5797  0.2421  0.1731  0.02
O  0.0050  0.5797  0.1731  0.02
O  0.1090  0.4235  0.7844  0.05
O  0.6831  0.1090  0.7844  0.05
O  0.2420  0.0051  0.1731  0.02
Tl  0.0125  0.0124  0.9625  0.00
Tl  0.5346  0.5350  0.3955  0.05
Cu  0.7370  0.7367  0.7899  0.28
Te  0.3351  0.3351  0.9947  0.00

- V: 163 Å³/cell
- ρ: 7.11 g/cm³
- Energy relative to the elements, uncorrected: -722 meV/atom
- SG: No. 146

(7)
Entry from Alexandria: crystalline TlCuTe2O8 at its relaxed geometry (GGA-PBE).

Unit cell a=5.0022 b=4.9990 c=6.4045 alpha=90.00 beta=90.00 gamma=83.38
Site moments in Bohr magnetons follow the coordinates.
Sites, in units of the cell vectors:
Tl  0.0000  0.0000  0.5000  0.00
O  0.3246  0.3233  0.0000  -0.01
O  0.2048  0.7938  0.7691  0.04
O  0.2047  0.7937  0.2309  0.04
O  0.6692  0.6705  0.5000  0.01
O  0.7952  0.2062  0.2309  0.04
O  0.7953  0.2063  0.7691  0.04
O  0.3308  0.3295  0.5000  0.01
O  0.6754  0.6767  0.0000  -0.01
Cu  0.0000  0.0000  0.0000  0.40
Te  0.5000  0.5000  0.7583  0.00
Te  0.5000  0.5000  0.2417  0.00

- V: 159 Å³/cell
- ρ: 6.80 g/cm³
- Energy relative to the elements, uncorrected: -761 meV/atom
- SG: No. 10

(8)
Entry from Alexandria: crystalline TlCuTeO4 at its relaxed geometry (GGA-PBE).

Unit cell a=5.9477 b=6.4370 c=8.6025 alpha=90.00 beta=123.19 gamma=90.00
Sites, in units of the cell vectors:
O  0.5024  0.2500  0.4372
O  0.9993  0.0317  0.7909
O  0.9993  0.4683  0.7909
O  0.0007  0.5317  0.2091
O  0.4372  0.7500  0.1852
O  0.4976  0.7500  0.5628
O  0.0007  0.9683  0.2091
O  0.5628  0.2500  0.8148
Cu  0.0818  0.2500  0.2481
Cu  0.9182  0.7500  0.7519
Tl  0.4781  0.2500  0.0983
Tl  0.5219  0.7500  0.9017
Te  0.2566  0.7500  0.3036
Te  0.7434  0.2500  0.6964

- V: 276 Å³/cell
- ρ: 5.54 g/cm³
- Energy relative to the elements, uncorrected: -695 meV/atom
- SG: No. 11